1.
An optimized crystal structure of Pu4GaSb, computed with GGA-PBE.

Computed properties:
The calculation puts the formation energy (no corrections) at -11.27 kJ per mole of atoms. Its symmetry is No. 47.

Cell and atoms, written as POSCAR:
```
Pu4GaSb
1.0
-2.407 0.031 2.247
1.947 -4.176 2.144
4.954 4.998 5.237
Ga Pu Sb
1 4 1
direct
0.999 0.497 0.998 Ga
0.498 0.997 0.835 Pu
0.499 0.497 0.669 Pu
0.499 0.997 0.161 Pu
0.498 0.497 0.327 Pu
0.999 0.997 0.498 Sb
```


2.
An optimized crystal structure of Ho3Tm3Sc2, computed with GGA-PBE.

Computed properties:
The value obtained for the formation energy is 0.1769 eV/atom. As for the energy above the most stable polymorph in this dataset: 83 meV/atom. Its symmetry is No. 155.

Cell and atoms, written as POSCAR:
```
Ho3Tm3Sc2
1.0
6.234 -0.262 0.255
-0.255 6.234 0.255
0.262 0.262 6.233
Tm Ho Sc
3 3 2
direct
0.000 0.288 0.288 Tm
0.712 0.000 0.712 Tm
0.288 0.712 0.000 Tm
0.189 0.811 0.500 Ho
0.811 0.500 0.811 Ho
0.500 0.189 0.189 Ho
0.317 0.317 0.683 Sc
0.683 0.683 0.317 Sc
```


3.
An optimized crystal structure of Li3NpW2N6, computed with GGA-PBE.

Computed properties:
The calculation puts the formation energy (no corrections) at -63.89 kJ per mole of atoms. Its symmetry is No. 12.

Cell and atoms, written as POSCAR:
```
Li3NpW2N6
1.0
3.130 0.000 0.000
0.000 6.230 0.082
-1.565 -1.940 6.580
Li Np N W
3 1 6 2
direct
0.175 0.847 0.350 Li
0.500 0.500 0.000 Li
0.825 0.153 0.650 Li
0.500 0.000 0.000 Np
0.665 0.573 0.329 N
0.337 0.886 0.673 N
0.009 0.238 0.019 N
0.335 0.427 0.671 N
0.663 0.114 0.327 N
0.991 0.762 0.981 N
0.825 0.636 0.650 W
0.175 0.364 0.350 W
```


4.
An optimized crystal structure of Sr5In3Br12, computed with GGA-PBE.

Computed properties:
The calculation puts the formation energy (no corrections) at -148.50 kJ per mole of atoms. Its symmetry is No. 230.

Cell and atoms, written as POSCAR:
```
Sr5In3Br12
1.0
16.421 0.000 0.000
-5.474 15.482 0.000
-5.474 -7.741 13.408
Br In Sr
48 12 20
direct
0.035 0.417 0.825 Br
0.882 0.290 0.465 Br
0.465 0.675 0.083 Br
0.825 0.908 0.290 Br
0.382 0.417 0.092 Br
0.675 0.465 0.583 Br
0.583 0.618 0.408 Br
0.382 0.965 0.790 Br
0.917 0.825 0.535 Br
0.092 0.175 0.210 Br
0.710 0.118 0.035 Br
0.618 0.583 0.908 Br
0.408 0.118 0.583 Br
0.790 0.325 0.908 Br
0.083 0.908 0.118 Br
0.417 0.035 0.325 Br
0.965 0.583 0.175 Br
0.583 0.965 0.675 Br
0.618 0.035 0.210 Br
0.325 0.790 0.408 Br
0.210 0.675 0.092 Br
0.535 0.325 0.917 Br
0.118 0.408 0.083 Br
0.035 0.618 0.710 Br
0.417 0.382 0.592 Br
0.965 0.382 0.290 Br
0.175 0.092 0.710 Br
0.535 0.210 0.118 Br
0.465 0.790 0.882 Br
0.175 0.083 0.965 Br
0.210 0.535 0.618 Br
0.675 0.210 0.592 Br
0.825 0.917 0.035 Br
0.408 0.290 0.325 Br
0.710 0.592 0.175 Br
0.908 0.083 0.618 Br
0.917 0.092 0.882 Br
0.083 0.175 0.465 Br
0.592 0.882 0.417 Br
0.092 0.917 0.382 Br
0.790 0.465 0.382 Br
0.290 0.882 0.965 Br
0.908 0.825 0.790 Br
0.118 0.710 0.535 Br
0.290 0.408 0.825 Br
0.325 0.535 0.417 Br
0.592 0.710 0.675 Br
0.882 0.592 0.917 Br
0.375 0.750 0.625 In
0.750 0.875 0.625 In
0.250 0.125 0.375 In
0.375 0.625 0.250 In
0.625 0.250 0.375 In
0.875 0.125 0.250 In
0.250 0.625 0.875 In
0.125 0.250 0.875 In
0.125 0.875 0.750 In
0.750 0.375 0.125 In
0.875 0.750 0.125 In
0.625 0.375 0.750 In
0.500 0.000 0.500 Sr
0.750 0.625 0.375 Sr
0.500 0.500 0.000 Sr
0.875 0.625 0.750 Sr
0.500 0.000 0.000 Sr
0.000 0.500 0.000 Sr
0.625 0.750 0.875 Sr
0.375 0.125 0.750 Sr
0.750 0.125 0.875 Sr
0.375 0.250 0.125 Sr
0.875 0.250 0.625 Sr
0.125 0.750 0.375 Sr
0.250 0.875 0.125 Sr
0.000 0.500 0.500 Sr
0.500 0.500 0.500 Sr
0.250 0.375 0.625 Sr
0.000 0.000 0.500 Sr
0.625 0.875 0.250 Sr
0.125 0.375 0.250 Sr
0.000 0.000 0.000 Sr
```


5.
An optimized crystal structure of CeMnVSi2, computed with GGA-PBE.

Computed properties:
The calculation puts the formation energy (no corrections) at -52.21 kJ per mole of atoms. Its symmetry is No. 119.

Cell and atoms, written as POSCAR:
```
CeMnVSi2
1.0
-0.696 3.797 0.895
-3.724 -0.918 0.996
3.783 -2.341 4.101
V Ce Si Mn
1 1 2 1
direct
0.750 0.250 0.500 V
0.000 0.000 0.000 Ce
0.386 0.386 0.771 Si
0.614 0.614 0.229 Si
0.250 0.750 0.500 Mn
```


6.
An optimized crystal structure of Pu2InN, computed with GGA-PBE.

Computed properties:
The calculation puts the formation energy (no corrections) at -39.67 kJ per mole of atoms. Its symmetry is No. 123.

Cell and atoms, written as POSCAR:
```
Pu2InN
1.0
3.089 0.000 0.000
0.000 3.089 0.000
0.000 0.000 8.168
In Pu N
1 2 1
direct
0.500 0.500 0.500 In
0.000 0.000 0.176 Pu
0.000 0.000 0.824 Pu
0.500 0.500 0.000 N
```


7.
An optimized crystal structure of Pu2GeAsPd6, computed with GGA-PBE.

Computed properties:
The value obtained for the formation energy is -0.4878 eV/atom. Its symmetry is No. 59.

Cell and atoms, written as POSCAR:
```
Pu2GeAsPd6
1.0
5.539 0.000 0.000
0.000 8.373 0.000
0.000 0.000 8.663
Pd Pu As Ge
12 4 2 2
direct
0.000 0.888 0.249 Pd
0.749 0.994 0.500 Pd
0.750 0.499 0.500 Pd
0.500 0.112 0.251 Pd
0.251 0.994 0.500 Pd
0.250 0.501 0.000 Pd
0.751 0.006 0.000 Pd
0.000 0.888 0.751 Pd
0.750 0.501 0.000 Pd
0.500 0.112 0.749 Pd
0.249 0.006 0.000 Pd
0.250 0.499 0.500 Pd
0.500 0.736 0.251 Pu
0.000 0.264 0.249 Pu
0.500 0.736 0.749 Pu
0.000 0.264 0.751 Pu
0.500 0.257 0.500 As
0.000 0.743 0.000 As
0.000 0.739 0.500 Ge
0.500 0.261 0.000 Ge
```


8.
An optimized crystal structure of BeZnPt3, computed with GGA-PBE.

Computed properties:
The value obtained for the formation energy is 0.9584 eV/atom. As for the energy above the most stable polymorph in this dataset: 1134 meV/atom. Its symmetry is No. 221.

Cell and atoms, written as POSCAR:
```
BeZnPt3
1.0
-3.541 0.246 -2.881
-2.270 -3.059 2.528
-1.792 3.389 2.491
Zn Be Pt
1 1 3
direct
0.000 0.000 0.000 Zn
0.500 0.500 0.500 Be
0.000 0.500 0.000 Pt
0.000 0.000 0.500 Pt
0.500 0.000 0.000 Pt
```


9.
An optimized crystal structure of Pr2Cu5Pt5, computed with GGA-PBE.

Computed properties:
The value obtained for the formation energy is -0.5703 eV/atom. As for the energy above the most stable polymorph in this dataset: 33 meV/atom. Its symmetry is No. 47.

Cell and atoms, written as POSCAR:
```
Pr2Cu5Pt5
1.0
4.342 0.000 0.000
0.000 5.187 0.000
0.000 0.000 9.255
Pt Cu Pr
5 5 2
direct
0.000 0.000 0.177 Pt
0.000 0.500 0.334 Pt
0.000 0.500 0.666 Pt
0.000 0.000 0.823 Pt
0.500 0.000 0.000 Pt
0.500 0.251 0.256 Cu
0.500 0.749 0.256 Cu
0.500 0.500 0.500 Cu
0.500 0.749 0.744 Cu
0.500 0.251 0.744 Cu
0.000 0.000 0.500 Pr
0.000 0.500 0.000 Pr
```


10.
An optimized crystal structure of BeNb2As, computed with GGA-PBE.

Computed properties:
The value obtained for the formation energy is 0.8608 eV/atom. As for the energy above the most stable polymorph in this dataset: 1346 meV/atom. Its symmetry is No. 122.

Cell and atoms, written as POSCAR:
```
BeNb2As
1.0
-4.780 -2.304 -0.343
1.906 -4.318 2.450
-2.928 -0.999 6.288
Nb As Be
4 2 2
direct
0.375 0.429 0.750 Nb
0.875 0.821 0.750 Nb
0.571 0.125 0.250 Nb
0.179 0.625 0.250 Nb
0.750 0.250 0.500 As
0.000 0.000 0.000 As
0.500 0.500 0.000 Be
0.250 0.750 0.500 Be
```


11.
An optimized crystal structure of HoScIrPd, computed with GGA-PBE.

Computed properties:
The value obtained for the formation energy is -0.9314 eV/atom. Its symmetry is No. 216.

Cell and atoms, written as POSCAR:
```
HoScIrPd
1.0
4.754 0.000 0.000
2.377 4.117 0.000
2.377 1.372 3.881
Sc Pd Ir Ho
1 1 1 1
direct
0.250 0.250 0.250 Sc
0.000 0.000 0.000 Pd
0.500 0.500 0.500 Ir
0.750 0.750 0.750 Ho
```


12.
An optimized crystal structure of KBa2Ir, computed with GGA-PBE.

Computed properties:
The value obtained for the formation energy is 0.1348 eV/atom. As for the energy above the most stable polymorph in this dataset: 180 meV/atom. Its symmetry is No. 8.

Cell and atoms, written as POSCAR:
```
KBa2Ir
1.0
-1.922 5.692 5.047
-5.438 4.937 2.759
-4.104 -0.866 6.593
Ba K Ir
2 1 1
direct
0.846 0.846 0.640 Ba
0.000 0.000 0.913 Ba
0.182 0.182 0.265 K
0.472 0.472 0.682 Ir
```